## CdIn2CuB (PBE)

Data for an optimized crystal structure of CdIn2CuB.

Lattice parameters (Å, degrees): 4.9017 4.4176 4.9017 90.00 90.00 90.00
Closest atoms and distances in Å follow each position.
Element x y z (fractional)
B  0.0000  0.0000  0.0000  2 Cd 2.21, 4 In 2.45
Cd  0.0000  0.5000  0.0000  2 B 2.21
Cu  0.5000  0.5000  0.5000  8 In 3.30, 4 Cd 3.47
In  0.0000  0.0000  0.5000  2 B 2.45
In  0.5000  0.0000  0.0000  2 B 2.45

formation enthalpy at 0 K = 0.650 eV per atom
total energy = -2.783 eV per atom
magnetic moment = 0.0000 μB per atom


## CdCuBIr2 (PBE)

Data for an optimized crystal structure of CdCuBIr2.

Lattice parameters (Å, degrees): 4.1411 4.1411 4.1162 90.00 90.00 90.00
Closest atoms and distances in Å follow each position.
Element x y z (fractional)
B  0.0000  0.0000  0.0000  2 Cu 2.06, 4 Ir 2.07
Ir  0.0000  0.5000  0.0000  2 B 2.07
Ir  0.5000  0.0000  0.0000  2 B 2.07
Cu  0.0000  0.0000  0.5000  2 B 2.06
Cd  0.5000  0.5000  0.5000  8 Ir 2.92, 4 Cu 2.93

formation enthalpy at 0 K = -0.011 eV per atom
total energy = -5.894 eV per atom
magnetic moment = 0.0000 μB per atom


## K2CdCuB (PBE)

Data for an optimized crystal structure of K2CdCuB.

Lattice parameters (Å, degrees): 6.2687 3.8564 6.2687 90.00 90.00 90.00
Closest atoms and distances in Å follow each position.
Element x y z (fractional)
K  0.0000  0.0000  0.5000  2 B 3.13
K  0.5000  0.0000  0.0000  2 B 3.13
B  0.0000  0.0000  0.0000  2 Cu 1.93
Cu  0.0000  0.5000  0.0000  2 B 1.93
Cd  0.5000  0.5000  0.5000  8 K 3.68, 2 Cd 3.86

formation enthalpy at 0 K = 0.462 eV per atom
total energy = -2.315 eV per atom
magnetic moment = 0.0000 μB per atom


## CdCu2NiB (PBE)

Data for an optimized crystal structure of CdCu2NiB.

Lattice parameters (Å, degrees): 4.0267 4.0267 3.9083 90.00 90.00 90.00
Closest atoms and distances in Å follow each position.
Element x y z (fractional)
Ni  0.0000  0.0000  0.5000  2 B 1.95
B  0.0000  0.0000  0.0000  2 Ni 1.95, 4 Cu 2.01
Cu  0.0000  0.5000  0.0000  2 B 2.01
Cu  0.5000  0.0000  0.0000  2 B 2.01
Cd  0.5000  0.5000  0.5000  8 Cu 2.81, 4 Ni 2.85

formation enthalpy at 0 K = 0.081 eV per atom
total energy = -4.232 eV per atom
magnetic moment = 0.0000 μB per atom


| no. | calculated volume (A^3/atom) |
| --- | --- |
| 1 | 21.23 |
| 2 | 14.12 |
| 3 | 30.31 |
| 4 | 12.67 |